1.
Below is a relaxed structure of Ti7AlC2, with properties calculated at the PBE level.

```
Ti7AlC2
1.0
-0.9488 1.5637 -3.7111
-2.4642 -5.7035 -1.7732
-4.1015 4.1384 2.7924
Ti Al C
7 1 2
direct
0.5000 0.3311 0.0633
0.0000 0.7227 0.2773
0.5000 0.9367 0.6689
0.5000 0.6689 0.9367
0.5000 0.0633 0.3311
0.5000 0.5000 0.5000
0.0000 0.2773 0.7227
0.0000 0.0000 0.0000
0.5000 0.7028 0.2972
0.5000 0.2972 0.7028
```

Properties
E_tot in eV per atom: -7.940
Magnetization in μB/f.u.: 0.0
Energy of formation from the pure elements in eV per atom: -0.19

=====

2.
Below is a relaxed structure of Ti3AlC, with properties calculated at the PBE level.

```
Ti3AlC
1.0
-2.1144 -3.3972 1.2115
-0.4882 -1.1219 -3.9978
3.5735 -2.1633 0.1707
Ti C Al
3 1 1
direct
0.0000 0.0000 0.5000
0.5000 0.0000 0.0000
0.0000 0.5000 0.0000
0.0000 0.0000 0.0000
0.5000 0.5000 0.5000
```

Properties
E_tot in eV per atom: -7.923
Magnetization in μB/f.u.: 0.0
Energy of formation from the pure elements in eV per atom: -0.59

=====

3.
Below is a relaxed structure of Ti2AlC, with properties calculated at the PBE level.

```
Ti2AlC
1.0
-1.0838 6.1594 -1.2794
-5.3481 -1.5857 -3.1037
-4.6836 2.5283 0.2141
Ti Al C
4 2 2
direct
0.1962 0.6250 0.2500
0.8750 0.8038 0.7500
0.5538 0.1250 0.2500
0.3750 0.4462 0.7500
0.7500 0.2500 0.5000
0.0000 0.0000 0.0000
0.2500 0.7500 0.5000
0.5000 0.5000 0.0000
```

Properties
E_tot in eV per atom: -7.199
Magnetization in μB/f.u.: 0.0
Energy of formation from the pure elements in eV per atom: -0.01

=====

4.
Below is a relaxed structure of TiAlC3, with properties calculated at the PBE level.

```
TiAlC3
1.0
3.8234 0.0000 0.0000
0.0000 3.8234 0.0000
0.0000 0.0000 3.8234
C Ti Al
3 1 1
direct
0.5000 0.0000 0.0000
0.0000 0.0000 0.5000
0.0000 0.5000 0.0000
0.5000 0.5000 0.5000
0.0000 0.0000 0.0000
```

Properties
E_tot in eV per atom: -6.102
Magnetization in μB/f.u.: 0.0
Energy of formation from the pure elements in eV per atom: 1.76

=====

5.
Below is a relaxed structure of Ti3AlC2, with properties calculated at the PBE level.

```
Ti3AlC2
1.0
3.0812 0.0000 0.0000
-1.5406 2.6684 0.0000
0.0000 0.0000 18.6349
Ti Al C
6 2 4
direct
0.6667 0.3333 0.3727
0.0000 0.0000 0.0000
0.3333 0.6667 0.8727
0.0000 0.0000 0.5000
0.6667 0.3333 0.1273
0.3333 0.6667 0.6273
0.0000 0.0000 0.7500
0.0000 0.0000 0.2500
0.3333 0.6667 0.4306
0.3333 0.6667 0.0694
0.6667 0.3333 0.9306
0.6667 0.3333 0.5694
```

Properties
E_tot in eV per atom: -8.410
Magnetization in μB/f.u.: 0.0
Energy of formation from the pure elements in eV per atom: -0.76

=====

6.
Below is a relaxed structure of Ti2AlC, with properties calculated at the PBE level.

```
Ti2AlC
1.0
-1.3555 -0.0611 -2.7456
1.5780 -0.8936 -2.4680
-1.8834 -6.8441 -0.6225
Al C Ti
1 1 2
direct
0.4999 0.4999 0.5003
0.6671 0.6671 0.9985
0.0549 0.0549 0.8346
0.2780 0.2780 0.1666
```

Properties
E_tot in eV per atom: -7.867
Magnetization in μB/f.u.: 0.0
Energy of formation from the pure elements in eV per atom: -0.68

=====

Number 2 is which compound? Ti3AlC

=====

Which of these has the highest energy of formation from the pure elements? TiAlC3

=====

The lowest energy of formation from the pure elements belongs to which entry? Ti3AlC2

=====

Which of these has the lowest energy of formation from the pure elements? Ti3AlC2